[1]
The following is a GGA-PBE calculation of crystalline ScRePb2 at its relaxed geometry, from Alexandria.

Computed properties:
E above lowest polymorph   133 meV per atom

Unit cell a=6.518 b=6.518 c=6.518 alpha=150.28 beta=137.28 gamma=52.91
Fractional positions:
1 Sc 0.000 0.000 0.000
2 Re 0.815 0.315 0.500
3 Pb 0.314 0.814 0.500
4 Pb 0.600 0.600 0.000



[2]
The following is a GGA-PBE calculation of crystalline ScRe2Pb at its relaxed geometry, from Alexandria.

Unit cell a=5.557 b=5.557 c=2.953 alpha=103.57 beta=103.57 gamma=117.37
Fractional positions:
1 Sc 0.000 0.000 0.000
2 Re 0.000 0.500 0.500
3 Re 0.500 0.000 0.500
4 Pb 0.500 0.500 0.000



[3]
The following is a GGA-PBE calculation of crystalline ScRePb2 at its relaxed geometry, from Alexandria.

Computed properties:
E above lowest polymorph   210 meV per atom

Unit cell a=3.343 b=4.716 c=5.666 alpha=90.00 beta=96.92 gamma=90.00
Fractional positions:
1 Sc 0.000 0.000 0.000
2 Re 0.500 0.000 0.500
3 Pb 0.309 0.500 0.742
4 Pb 0.691 0.500 0.258



[4]
The following is a GGA-PBE calculation of crystalline ScRe2Pb at its relaxed geometry, from Alexandria.

Unit cell a=4.983 b=4.983 c=4.983 alpha=129.52 beta=129.52 gamma=74.17
Fractional positions:
1 Sc 0.000 0.000 0.000
2 Re 0.500 0.500 0.000
3 Re 0.750 0.250 0.500
4 Pb 0.250 0.750 0.500



[5]
The following is a GGA-PBE calculation of crystalline ScRe2Pb at its relaxed geometry, from Alexandria.

Unit cell a=10.314 b=10.314 c=10.314 alpha=157.00 beta=157.00 gamma=32.75
Fractional positions:
1 Sc 0.000 0.000 0.000
2 Sc 0.750 0.250 0.500
3 Re 0.043 0.625 0.918
4 Re 0.375 0.293 0.418
5 Re 0.707 0.125 0.082
6 Re 0.875 0.957 0.582
7 Pb 0.250 0.750 0.500
8 Pb 0.500 0.500 0.000



[6]
The following is a GGA-PBE calculation of crystalline ScRe2Pb at its relaxed geometry, from Alexandria.

Unit cell a=2.891 b=2.891 c=9.034 alpha=90.00 beta=90.00 gamma=90.00
Fractional positions:
1 Sc 0.000 0.000 0.000
2 Re 0.500 0.500 0.237
3 Re 0.500 0.500 0.763
4 Pb 0.000 0.000 0.500



[7]
The following is a GGA-PBE calculation of crystalline ScRePb2 at its relaxed geometry, from Alexandria.

Computed properties:
E above lowest polymorph   389 meV per atom

Unit cell a=6.404 b=6.404 c=6.404 alpha=103.20 beta=103.20 gamma=122.91
Fractional positions:
1 Sc 0.000 0.000 0.000
2 Sc 0.750 0.250 0.500
3 Re 0.250 0.750 0.500
4 Re 0.500 0.500 0.000
5 Pb 0.149 0.125 0.524
6 Pb 0.375 0.851 0.976
7 Pb 0.601 0.625 0.476
8 Pb 0.875 0.399 0.024



[8]
The following is a GGA-PBE calculation of crystalline ScRePb2 at its relaxed geometry, from Alexandria.

Computed properties:
E above lowest polymorph   267 meV per atom

Unit cell a=4.781 b=4.781 c=3.758 alpha=90.00 beta=90.00 gamma=96.17
Fractional positions:
1 Sc 0.000 0.000 0.000
2 Re 0.500 0.500 0.000
3 Pb 0.000 0.500 0.500
4 Pb 0.500 0.000 0.500



[9]
The following is a GGA-PBE calculation of crystalline Sc2RePb at its relaxed geometry, from Alexandria.

Unit cell a=3.113 b=3.113 c=9.713 alpha=90.00 beta=90.00 gamma=113.11
Fractional positions:
1 Sc 0.000 0.000 0.000
2 Sc 0.500 0.500 0.284
3 Re 0.000 0.000 0.495
4 Pb 0.500 0.500 0.732



[10]
The following is a GGA-PBE calculation of crystalline Sc4RePb at its relaxed geometry, from Alexandria.

Unit cell a=5.629 b=5.629 c=5.629 alpha=60.00 beta=60.00 gamma=60.00
Fractional positions:
1 Sc 0.378 0.378 0.378
2 Sc 0.378 0.378 0.867
3 Sc 0.378 0.867 0.378
4 Sc 0.867 0.378 0.378
5 Re 0.750 0.750 0.750
6 Pb 0.000 0.000 0.000



[11]
The following is a GGA-PBE calculation of crystalline ScRePb2 at its relaxed geometry, from Alexandria.

Computed properties:
E above lowest polymorph   346 meV per atom

Unit cell a=5.028 b=5.028 c=5.028 alpha=60.00 beta=60.00 gamma=60.00
Fractional positions:
1 Sc 0.000 0.000 0.000
2 Re 0.250 0.250 0.250
3 Pb 0.500 0.500 0.500
4 Pb 0.750 0.750 0.750



[12]
The following is a GGA-PBE calculation of crystalline ScRePb2 at its relaxed geometry, from Alexandria.

Computed properties:
E above lowest polymorph   73 meV per atom

Unit cell a=10.284 b=10.284 c=10.284 alpha=18.44 beta=18.44 gamma=18.44
Fractional positions:
1 Sc 0.000 0.000 0.000
2 Re 0.730 0.730 0.730
3 Pb 0.241 0.241 0.241
4 Pb 0.470 0.470 0.470



| no. | total DFT energy (no corrections) (eV/cell) | formation energy (eV per formula unit) |
| --- | --- | --- |
| 1 | -24.62 | 1.58 |
| 2 | -32.69 | 2.24 |
| 3 | -24.31 | 1.89 |
| 4 | -32.97 | 1.96 |
| 5 | -64.18 | 2.85 |
| 6 | -31.63 | 3.30 |
| 7 | -47.19 | 2.60 |
| 8 | -24.08 | 2.11 |
| 9 | -27.39 | 1.43 |
| 10 | -38.70 | 2.79 |
| 11 | -23.77 | 2.43 |
| 12 | -24.86 | 1.34 |